Material: Sc2TiFe5B2
Method: DFT, PBE-GGA
State: relaxed

Total DFT energy (no corrections): -7.984 eV/atom
Space group: No. 127
Formation energy from the elements: -0.3615 eV/atom
Total moment: 7.96 μB/cell

Lattice parameters (Å, degrees): 2.986 8.860 8.860 90.00 90.00 90.00
Positions (direct):
Fe 0.500 0.721 0.431
Fe 0.500 0.279 0.569
Fe 0.500 0.569 0.721
Fe 0.500 0.931 0.221
Fe 0.500 0.069 0.779
Fe 0.500 0.221 0.069
Fe 0.500 0.431 0.279
Fe 0.500 0.500 0.000
Fe 0.500 0.779 0.931
Fe 0.500 0.000 0.500
Sc 0.000 0.675 0.175
Sc 0.000 0.325 0.825
Sc 0.000 0.825 0.675
Sc 0.000 0.175 0.325
B 0.000 0.878 0.378
B 0.000 0.622 0.878
B 0.000 0.378 0.122
B 0.000 0.122 0.622
Ti 0.000 0.500 0.500
Ti 0.000 0.000 0.000


Material: Sc2TlFeB
Method: DFT, PBE-GGA
State: relaxed

Total DFT energy (no corrections): -6.282 eV/atom
Space group: No. 123
Formation energy from the elements: -0.2485 eV/atom
Total moment: 0.45 μB/cell

Lattice parameters (Å, degrees): 4.728 4.728 3.857 90.00 90.00 90.00
Positions (direct):
Sc 0.500 0.000 0.000
Sc 0.000 0.500 0.000
Fe 0.000 0.000 0.500
B 0.000 0.000 0.000
Tl 0.500 0.500 0.500


Material: Sc2ZnFe5B2
Method: DFT, PBE-GGA
State: relaxed

Total DFT energy (no corrections): -7.253 eV/atom
Space group: No. 127
Formation energy from the elements: -0.2928 eV/atom
Total moment: 13.11 μB/cell

Lattice parameters (Å, degrees): 3.097 8.704 8.704 90.00 90.00 90.00
Positions (direct):
Fe 0.500 0.069 0.778
Fe 0.500 0.222 0.069
Fe 0.500 0.569 0.722
Fe 0.500 0.000 0.500
Fe 0.500 0.778 0.931
Fe 0.500 0.431 0.278
Fe 0.500 0.500 0.000
Fe 0.500 0.722 0.431
Fe 0.500 0.278 0.569
Fe 0.500 0.931 0.222
Sc 0.000 0.175 0.325
Sc 0.000 0.325 0.825
Sc 0.000 0.825 0.675
Sc 0.000 0.675 0.175
B 0.000 0.878 0.378
B 0.000 0.122 0.622
B 0.000 0.622 0.878
B 0.000 0.378 0.122
Zn 0.000 0.500 0.500
Zn 0.000 0.000 0.000


Material: FeBSe3
Method: DFT, PBE-GGA
State: relaxed

Formation energy (no corrections): 1105.7 meV per atom
Total DFT energy (no corrections): -4.013 eV/atom
Space group: No. 221
Polymorph energy (0 for the lowest one): 0.000 eV/f.u.
Total moment: 0.00 μB/cell

Lattice parameters (Å, degrees): 4.340 4.340 4.340 90.00 90.00 90.00
Positions (direct):
Se 0.000 0.000 0.500
Se 0.000 0.500 0.000
Se 0.500 0.000 0.000
B 0.000 0.000 0.000
Fe 0.500 0.500 0.500


Material: Fe3BSe
Method: DFT, PBE-GGA
State: relaxed

Formation energy (no corrections): 406.0 meV per atom
Total DFT energy (no corrections): -6.704 eV/atom
Space group: No. 221
Polymorph energy (0 for the lowest one): 0.000 eV/f.u.
Total moment: 0.92 μB/cell

Lattice parameters (Å, degrees): 3.846 3.846 3.846 90.00 90.00 90.00
Positions (direct):
B 0.000 0.000 0.000
Se 0.500 0.500 0.500
Fe 0.000 0.500 0.000
Fe 0.000 0.000 0.500
Fe 0.500 0.000 0.000


Material: FeB3Se
Method: DFT, PBE-GGA
State: relaxed

Formation energy (no corrections): 1290.9 meV per atom
Total DFT energy (no corrections): -5.105 eV/atom
Space group: No. 221
Polymorph energy (0 for the lowest one): 0.000 eV/f.u.
Total moment: 1.12 μB/cell

Lattice parameters (Å, degrees): 3.907 3.907 3.907 90.00 90.00 90.00
Positions (direct):
B 0.500 0.000 0.000
B 0.000 0.000 0.500
B 0.000 0.500 0.000
Se 0.500 0.500 0.500
Fe 0.000 0.000 0.000


Material: FeB2Se
Method: DFT, PBE-GGA
State: relaxed

Formation energy (no corrections): 672.0 meV per atom
Total DFT energy (no corrections): -5.654 eV/atom
Space group: No. 122
Total moment: 0.00 μB/cell

Lattice parameters (Å, degrees): 4.737 4.737 5.686 65.38 65.38 90.00
Positions (direct):
Se 0.000 0.000 0.000
Se 0.750 0.250 0.500
B 0.156 0.625 0.250
B 0.594 0.125 0.250
B 0.375 0.406 0.750
B 0.875 0.844 0.750
Fe 0.500 0.500 0.000
Fe 0.250 0.750 0.500


Material: FeBSe3
Method: DFT, PBE-GGA
State: relaxed

Formation energy (no corrections): 1122.2 meV per atom
Total DFT energy (no corrections): -3.997 eV/atom
Space group: No. 221
Polymorph energy (0 for the lowest one): 0.082 eV/f.u.
Total moment: 3.57 μB/cell

Lattice parameters (Å, degrees): 4.749 4.749 4.749 90.00 90.00 90.00
Positions (direct):
Se 0.000 0.000 0.500
Se 0.000 0.500 0.000
Se 0.500 0.000 0.000
Fe 0.000 0.000 0.000
B 0.500 0.500 0.500


Material: Fe3BSe
Method: DFT, PBE-GGA
State: relaxed

Formation energy (no corrections): 1436.2 meV per atom
Total DFT energy (no corrections): -5.674 eV/atom
Space group: No. 221
Polymorph energy (0 for the lowest one): 5.151 eV/f.u.
Total moment: 7.00 μB/cell

Lattice parameters (Å, degrees): 4.353 4.353 4.353 90.00 90.00 90.00
Positions (direct):
Fe 0.500 0.000 0.000
Fe 0.000 0.500 0.000
Fe 0.000 0.000 0.500
B 0.500 0.500 0.500
Se 0.000 0.000 0.000


Material: Fe2BSe2
Method: DFT, PBE-GGA
State: relaxed

Formation energy (no corrections): 415.6 meV per atom
Total DFT energy (no corrections): -5.699 eV/atom
Space group: No. 127
Polymorph energy (0 for the lowest one): 0.114 eV/f.u.
Total moment: 6.58 μB/cell

Lattice parameters (Å, degrees): 5.367 5.367 4.946 90.00 90.00 90.00
Positions (direct):
Fe 0.338 0.838 0.000
Fe 0.838 0.662 0.000
Fe 0.162 0.338 0.000
Fe 0.662 0.162 0.000
Se 0.668 0.168 0.500
Se 0.332 0.832 0.500
Se 0.168 0.332 0.500
Se 0.832 0.668 0.500
B 0.000 0.000 0.000
B 0.500 0.500 0.000


Material: Fe2BSe
Method: DFT, PBE-GGA
State: relaxed

Formation energy (no corrections): 400.4 meV per atom
Total DFT energy (no corrections): -6.371 eV/atom
Space group: No. 122
Polymorph energy (0 for the lowest one): 0.000 eV/f.u.
Total moment: 0.00 μB/cell

Lattice parameters (Å, degrees): 4.809 4.809 5.859 65.77 65.77 90.00
Positions (direct):
Fe 0.188 0.625 0.250
Fe 0.375 0.438 0.750
Fe 0.562 0.125 0.250
Fe 0.875 0.812 0.750
B 0.500 0.500 0.000
B 0.250 0.750 0.500
Se 0.000 0.000 0.000
Se 0.750 0.250 0.500


Material: Fe2BSe2
Method: DFT, PBE-GGA
State: relaxed

Formation energy (no corrections): 392.8 meV per atom
Total DFT energy (no corrections): -5.722 eV/atom
Space group: No. 139
Polymorph energy (0 for the lowest one): 0.000 eV/f.u.
Total moment: 1.00 μB/cell

Lattice parameters (Å, degrees): 4.600 4.600 5.744 66.40 66.40 90.00
Positions (direct):
Se 0.750 0.250 0.500
Se 0.250 0.750 0.500
Fe 0.190 0.190 0.620
Fe 0.810 0.810 0.380
B 0.000 0.000 0.000


Question: Among the records above, which one has the lowest total DFT energy (no corrections)?
Answer: Sc2TiFe5B2


Question: Number 11 is which compound?
Answer: Fe2BSe